4
Lattice="0.0000 3.7176 3.7176 3.7176 0.0000 3.7176 3.7176 3.7176 0.0000" Properties=species:S:1:pos:R:3 comment="ZnInSnSb, relaxed, DFT GGA-PBE" e_form_raw_mev_per_atom=174.9 spacegroup="F-43m (216)" pbc="T T T"
Zn 0.0000 0.0000 0.0000
In 1.8588 1.8588 1.8588
Sn 5.5764 5.5764 5.5764
Sb 3.7176 3.7176 3.7176

---

4
Lattice="2.5523 -3.6504 0.0000 2.5523 3.6504 0.0000 0.0000 0.0000 2.7542" Properties=species:S:1:pos:R:3 comment="TaBe2Si, relaxed, DFT GGA-PBE" e_form_raw_mev_per_atom=146.8 spacegroup="Cmmm (65)" pbc="T T T"
Ta 0.0000 0.0000 0.0000
Be 1.2762 1.8252 1.3771
Be 1.2762 -1.8252 1.3771
Si 2.5523 0.0000 0.0000

---

10
Lattice="6.9258 -2.0894 0.0000 6.9258 2.0894 0.0000 -5.0490 0.0000 8.9215" Properties=species:S:1:pos:R:3 comment="AcSm4P5, relaxed, DFT GGA-PBE" spacegroup="C2/m (12)" ef_ev_per_atom=-1.5246 pbc="T T T"
Ac 0.0000 0.0000 0.0000
Sm -1.2412 0.0000 7.0880
Sm 2.5376 0.0000 5.3418
Sm 6.2651 0.0000 3.5797
Sm 10.0439 0.0000 1.8335
P -2.5245 0.0000 4.4607
P 1.2606 0.0000 2.7603
P 4.9176 0.0000 0.9464
P 3.8850 0.0000 7.9751
P 7.5420 0.0000 6.1612

---

5
Lattice="4.3911 0.0000 0.0000 0.0000 4.3911 0.0000 0.0000 0.0000 4.2811" Properties=species:S:1:pos:R:3 comment="LiLaBeRh2, relaxed, DFT GGA-PBE" spacegroup="P4/mmm (123)" ef_ev_per_atom=-0.4895 pbc="T T T"
Li 0.0000 0.0000 0.0000
La 2.1955 2.1955 0.0000
Be 0.0000 0.0000 2.1405
Rh 0.0000 2.1955 2.1405
Rh 2.1955 0.0000 2.1405

---

5
Lattice="4.9248 0.0000 0.0000 0.0000 4.9248 0.0000 0.0000 0.0000 4.9248" Properties=species:S:1:pos:R:3 comment="MoIrAu3, relaxed, DFT GGA-PBE" spacegroup="Pm-3m (221)" e_above_lowest_polymorph_mev_per_atom=456 ef_ev_per_atom=1.9760 pbc="T T T"
Mo 0.0000 0.0000 0.0000
Ir 2.4624 2.4624 2.4624
Au 0.0000 0.0000 2.4624
Au 0.0000 2.4624 0.0000
Au 2.4624 0.0000 0.0000

---

18
Lattice="-4.3538 4.3538 7.4242 4.3538 -4.3538 7.4242 4.3538 4.3538 -7.4242" Properties=species:S:1:pos:R:3 comment="Y2ErTm5Th, relaxed, DFT GGA-PBE" spacegroup="I4/mcm (140)" ef_ev_per_atom=0.3330 pbc="T T T"
Y 5.3498 0.9960 0.0000
Y 0.9960 3.3578 0.0000
Y 3.3578 0.9960 7.4242
Y -0.9960 3.3578 7.4242
Er 4.3538 0.0000 3.7121
Er 0.0000 4.3538 3.7121
Tm 0.0000 0.0000 0.0000
Tm 2.5240 1.8297 -2.0414
Tm 2.5240 -1.8297 5.3827
Tm 2.5240 1.8297 2.0414
Tm 2.5240 -1.8297 9.4656
Tm 0.0000 0.0000 7.4242
Tm 1.8297 6.1835 -2.0414
Tm 1.8297 2.5240 5.3827
Tm 1.8297 6.1835 2.0414
Tm 1.8297 2.5240 9.4656
Th 0.0000 0.0000 3.7121
Th 0.0000 0.0000 11.1363

---

Values for DOS at the Fermi energy, states/eV/atom, ordered as above
1.110, 0.357, 0.113, 0.276, 1.566, 1.229
Values for theoretical density, g/cm³, ordered as above
6.80, 7.35, 6.32, 7.26, 12.22, 8.39